Compound: KRbLa2Mg
Source: Alexandria via LeMat-Bulk
Functional: PBE
Structure: relaxed

Computed properties:
Its calculated density is 2.54 g/cm3. The calculation puts the electronic total energy at -10.6 eV per cell. The magnetic moment comes out at 0.0 μB/f.u. Its density of states at the Fermi level is 8.337 states/eV/f.u. For the energy of formation, the calculation gives 283 kJ/mol of formula units. The space group is P4/mmm, No. 123.

Lattice parameters (Å, degrees): 6.216 6.216 7.222 90.00 90.00 90.00
Element x y z (fractional)
K1 0.000 0.000 0.000
Rb1 0.500 0.500 0.000
La1 0.000 0.500 0.500
La2 0.500 0.000 0.500
Mg1 0.500 0.500 0.500